No. 1
Here is RbSrAlP2 after structural relaxation from the Alexandria database. Energies are from PBE.

formation enthalpy at 0 K: 1.304 eV per atom
V: 181 Å³ per cell
magnetization: 0.00 μB per cell
final energy: -0.1571 Ry/atom

Unit cell a=5.636 b=5.692 c=5.636 alpha=90.00 beta=90.00 gamma=90.00
Fractional coordinates of all 5 atoms:
P: 0.000 0.000 0.500
P: 0.500 0.000 0.000
Al: 0.500 0.500 0.500
Sr: 0.000 0.500 0.000
Rb: 0.000 0.000 0.000



No. 2
Here is RbAlVP2 after structural relaxation from the Alexandria database. Energies are from PBE.

formation enthalpy at 0 K: 0.579 eV per atom
V: 130 Å³ per cell
magnetization: 1.78 μB per cell
final energy: -0.3198 Ry/atom

Unit cell a=4.682 b=5.921 c=4.682 alpha=90.00 beta=90.00 gamma=90.00
Fractional coordinates of all 5 atoms:
P: 0.000 0.000 0.500
P: 0.500 0.000 0.000
Al: 0.500 0.500 0.500
V: 0.000 0.000 0.000
Rb: 0.000 0.500 0.000



No. 3
Here is AlReP2 after structural relaxation from the Alexandria database. Energies are from PBE.

formation enthalpy at 0 K: -0.123 eV per atom
V: 61 Å³ per cell
magnetization: 0.00 μB per cell
final energy: -0.5054 Ry/atom

Unit cell a=4.523 b=3.265 c=4.432 alpha=68.35 beta=90.00 gamma=90.00
Fractional coordinates of all 4 atoms:
P: 0.000 0.028 0.070
Al: 0.500 0.721 0.683
Re: 0.000 0.315 0.496
P: 0.500 0.437 0.251



No. 4
Here is AlRe2P after structural relaxation from the Alexandria database. Energies are from PBE.

ΔE to the lowest computed polymorph: 59 meV per atom
formation enthalpy at 0 K: -0.130 eV per atom
V: 56 Å³ per cell
magnetization: 0.00 μB per cell
final energy: -0.6352 Ry/atom

Unit cell a=4.596 b=4.596 c=4.420 alpha=73.41 beta=73.41 gamma=38.67
Fractional coordinates of all 4 atoms:
Al: 0.503 0.503 0.523
Re: 0.994 0.994 0.044
Re: 0.752 0.752 0.692
P: 0.251 0.251 0.241